# 1
## ThUAsP (PBE)

Data for a relaxed structure of ThUAsP.

abc: 3.966 3.966 7.631
angles: 90.00 105.06 120.01
Fractional coordinates of all 4 atoms:
P 0.142 0.969 0.125
U 0.957 0.376 0.349
Th 0.315 0.556 0.886
As 0.464 0.130 0.610

As for the formation energy: -1.01 eV per atom. The density of states at the Fermi level comes out at 6.17 states/eV/cell. As for the space-group type: R3m. The value obtained for the volume is 99 Å³/cell. The crystal system is trigonal.

***

# 2
## SrRuS2O8 (PBE)

Data for a relaxed structure of SrRuS2O8.

abc: 4.842 4.842 7.821
angles: 71.97 71.97 60.00
Fractional coordinates of all 12 atoms:
Sr 0.500 0.500 0.500
O 0.981 0.572 0.179
O 0.428 0.732 0.821
Ru 0.000 0.000 0.000
O 0.732 0.019 0.821
O 0.815 0.815 0.556
O 0.572 0.268 0.179
O 0.185 0.185 0.444
S 0.254 0.254 0.239
O 0.268 0.981 0.179
S 0.746 0.746 0.761
O 0.019 0.428 0.821

As for the uncorrected formation energy: -1.48 eV/atom. As for the space-group type: R-3. The value obtained for the volume is 148 Å³/cell. The crystal system is trigonal.

***

# 3
## TcTeN2F (PBE)

Data for a relaxed structure of TcTeN2F.

abc: 4.121 4.121 4.130
angles: 90.00 90.00 90.00
Fractional coordinates of all 5 atoms:
Tc 0.500 0.500 0.500
F 0.000 0.000 0.000
N 0.000 0.500 0.000
Te 0.000 0.000 0.500
N 0.500 0.000 0.000

The density of states at the Fermi level comes out at 3.30 states/eV/cell. As for the uncorrected formation energy: 2.07 eV/atom. As for the space-group type: P4/mmm. The value obtained for the volume is 70 Å³/cell. The polymorph energy (0 for the lowest one) is 1.826 eV/atom. The crystal system is tetragonal.

***

# 4
## NaTl (PBE)

Data for a relaxed structure of NaTl.

abc: 4.614 4.932 5.012
angles: 90.00 90.00 90.00
Fractional coordinates of all 4 atoms:
Na 0.500 0.500 0.000
Tl 0.500 0.000 0.500
Na 0.000 0.000 0.000
Tl 0.000 0.500 0.500

As for the formation energy: -0.09 eV per atom. The density of states at the Fermi level comes out at 1.54 states/eV/cell. As for the space-group type: Cmmm. The value obtained for the volume is 114 Å³/cell. The crystal system is orthorhombic.